Record 1
La2Ce2Si4Rh | PBE | optimized geometry

Its density is 6117 kg/m³. Its formation energy without anion corrections is -48.46 kJ/mol of atoms.

It has space group I4/mmm (No. 139), with a = 7.150 Å, b = 7.150 Å, c = 8.212 Å, α = 90.00°, β = 90.00° and γ = 90.00°. The distinct sites, in fractional coordinates, are La at (0.000, 0.500, 0.250), Ce at (0.000, 0.000, 0.168), Si at (0.239, 0.239, 0.500) and Rh at (0.000, 0.000, 0.500).

=====

Record 2
CaTe2SI | PBE | optimized geometry

Its density is 3383 kg/m³. Its formation energy without anion corrections is 30.71 kJ/mol of atoms.

It has space group P4/mmm (No. 123), with a = 6.079 Å, b = 6.079 Å, c = 6.034 Å, α = 90.00°, β = 90.00° and γ = 90.00°. The distinct sites, in fractional coordinates, are Ca at (0.000, 0.000, 0.000), Te at (0.000, 0.500, 0.000), S at (0.500, 0.500, 0.500) and I at (0.000, 0.000, 0.500).

=====

Record 3
CuRhBr2 | PBE | optimized geometry

Its density is 5656 kg/m³. Its formation energy without anion corrections is 16.35 kJ/mol of atoms.

It has space group Cmm2 (No. 35), with a = 3.979 Å, b = 6.157 Å, c = 7.820 Å, α = 90.00°, β = 90.00° and γ = 90.00°. The distinct sites, in fractional coordinates, are Cu at (0.000, 0.000, 0.000), Rh at (0.000, 0.500, 0.812), Br at (0.000, 0.000, 0.611) and Br at (0.000, 0.500, 0.163).

=====

Record 4
Pm3Zn4Pt4 | PBE | optimized geometry

The energy relative to the elements is -926 kJ/mol of formula units. Its density is 11159 kg/m³.

It has space group Immm (No. 71), with a = 4.115 Å, b = 7.449 Å, c = 14.341 Å, α = 90.00°, β = 90.00° and γ = 90.00°. The distinct sites, in fractional coordinates, are Pm at (0.000, 0.000, 0.000), Pm at (0.000, 0.500, 0.126), Zn at (0.000, 0.305, 0.327), Pt at (0.000, 0.000, 0.219) and Pt at (0.000, 0.197, 0.500).

=====

Record 5
NbInSb2Te | PBE | optimized geometry

Its density is 5800 kg/m³. Its formation energy without anion corrections is 133.07 kJ/mol of atoms.

It has space group P4/mmm (No. 123), with a = 5.451 Å, b = 5.451 Å, c = 5.577 Å, α = 90.00°, β = 90.00° and γ = 90.00°. The distinct sites, in fractional coordinates, are Nb at (0.000, 0.000, 0.000), In at (0.500, 0.500, 0.500), Sb at (0.000, 0.500, 0.500) and Te at (0.500, 0.500, 0.000).

=====

Record 6
Li3NbTe | PBE | optimized geometry

Its density is 3000 kg/m³. Its formation energy without anion corrections is 50.17 kJ/mol of atoms.

It has space group Pm-3m (No. 221), with a = 5.112 Å, b = 5.112 Å, c = 5.112 Å, α = 90.00°, β = 90.00° and γ = 90.00°. The distinct sites, in fractional coordinates, are Li at (0.000, 0.000, 0.500), Nb at (0.500, 0.500, 0.500) and Te at (0.000, 0.000, 0.000).

=====

Record 7
Ce2Pm3NdAs6 | PBE | optimized geometry

The energy relative to the elements is -1734 kJ/mol of formula units. Its density is 6737 kg/m³.

It has space group C2/m (No. 12), with a = 18.453 Å, b = 4.238 Å, c = 8.477 Å, α = 90.00°, β = 103.24° and γ = 90.00°. The distinct sites, in fractional coordinates, are Ce at (0.166, 0.000, 0.333), Pm at (0.000, 0.500, 0.500), Pm at (0.166, 0.000, 0.834), Nd at (0.000, 0.500, 0.000), As at (0.001, 0.000, 0.252), As at (0.167, 0.500, 0.087) and As at (0.168, 0.500, 0.581).

=====

Record 8
CrAuN3 | PBE | optimized geometry

Its density is 9037 kg/m³. Its formation energy without anion corrections is 113.92 kJ/mol of atoms.

It has space group Pm-3m (No. 221), with a = 3.767 Å, b = 3.767 Å, c = 3.767 Å, α = 90.00°, β = 90.00° and γ = 90.00°. The distinct sites, in fractional coordinates, are Cr at (0.000, 0.000, 0.000), Au at (0.500, 0.500, 0.500) and N at (0.000, 0.000, 0.500).

=====

Question: Among the records above, which one has the lowest density?
Answer: Li3NbTe